Tb2Nd3: optimized geometry, PBE.

```
Tb2Nd3
1.0
6.334 0.000 0.000
0.000 6.441 0.000
-3.167 -3.221 8.344
Tb Nd
4 6
Cartesian
0.000 0.837 3.230
3.167 2.383 5.113
0.000 4.058 5.113
3.167 -0.837 3.230
4.750 0.000 0.000
1.583 0.000 0.000
3.167 -0.647 6.705
3.167 2.574 1.639
0.000 0.647 6.705
0.000 3.867 1.639
```

Summary:
- total magnetic moment (μB/cell) = 0.0
- raw total energy (eV/atom) = -4.568